1.
The following is a PBE-GGA calculation of a geometry-optimized Be7Zn structure, from Alexandria.

The structure in extended XYZ format:
```
8
Lattice="2.057 -1.794 -3.749 2.321 -4.002 0.321 -1.707 -3.835 -1.970" Properties=species:S:1:pos:R:3 pbc="T T T"
Be 1.161 -2.001 0.160
Be 2.189 -2.898 -1.714
Be 0.307 -3.918 -0.825
Be 0.175 -2.814 -2.859
Be -0.854 -1.918 -0.985
Be 1.029 -0.897 -1.874
Be 1.336 -4.815 -2.699
Zn 0.000 0.000 0.000
```

Output
- N(E_F) (states/eV/atom) = 0.17
- ΔE_f (eV/atom) = 0.170
- M_tot (μB/atom) = 0.000
- SG = Fm-3m

=====

2.
The following is a PBE-GGA calculation of a geometry-optimized Np4AsSeS2 structure, from Alexandria.

The structure in extended XYZ format:
```
16
Lattice="7.975 0.003 -0.039 -0.002 8.021 -0.042 -3.977 -4.005 5.705" Properties=species:S:1:pos:R:3 pbc="T T T"
Np 2.071 6.014 0.012
Np 3.995 -0.074 2.771
Np 0.001 4.094 2.862
Np 1.923 -1.992 5.611
Np 5.899 6.018 -0.001
Np 3.993 4.096 2.735
Np 0.000 -0.081 2.888
Np -1.903 -1.990 5.622
As -0.002 4.013 -0.008
As -1.989 2.011 2.831
Se 1.996 2.020 2.811
Se 3.996 4.021 5.601
S 0.006 4.017 5.618
S 1.997 6.009 2.790
S 5.982 6.006 2.771
S 3.988 4.013 -0.009
```

Output
- N(E_F) (states/eV/atom) = 4.29
- formation energy without anion corrections (eV per atom) = -1.10
- M_tot (μB/atom) = 1.009
- SG = P1

=====

3.
The following is a PBE-GGA calculation of a geometry-optimized RbLa3Zn structure, from Alexandria.

The structure in extended XYZ format:
```
5
Lattice="-5.236 -2.694 -1.047 1.592 -4.496 3.607 -2.412 2.879 4.654" Properties=species:S:1:pos:R:3 pbc="T T T"
Zn 0.000 0.000 0.000
Rb -3.028 -2.155 3.607
La 0.796 -2.248 1.804
La -1.206 1.440 2.327
La -2.618 -1.347 -0.523
```

Output
- N(E_F) (states/eV/atom) = 1.45
- ΔE_f (eV/atom) = 0.303
- E above lowest polymorph (eV/atom) = 0.000
- M_tot (μB/atom) = 0.000
- SG = Pm-3m